The following is a PBE-GGA calculation of ScGa3Co after structural relaxation, from the Alexandria database.

Lattice parameters (Å, degrees): 4.481 4.481 4.481 90.00 90.00 90.00
Sites, in units of the cell vectors:
Sc 0.000 0.000 0.000
Ga 0.000 0.500 0.500
Ga 0.500 0.000 0.500
Ga 0.500 0.500 0.000
Co 0.500 0.500 0.500

The calculated formation energy is -0.20 eV per atom. The calculation puts the calculated density at 5.8 Mg/m³. As for the symmetry: Pm-3m (221).

The following is a PBE-GGA calculation of MnFeTeI2 after structural relaxation, from the Alexandria database.

Lattice parameters (Å, degrees): 5.425 5.425 5.527 90.00 90.00 90.00
Sites, in units of the cell vectors:
Mn 0.000 0.000 0.000
Fe 0.500 0.500 0.500
Te 0.000 0.000 0.500
I 0.000 0.500 0.000
I 0.500 0.000 0.000

The calculation puts the calculated density at 5.0 Mg/m³. The value obtained for the uncorrected formation energy is 0.686 eV/atom. As for the symmetry: P4/mmm (123).

The following is a PBE-GGA calculation of LiBeSe2 after structural relaxation, from the Alexandria database.

Lattice parameters (Å, degrees): 4.275 3.362 6.204 90.00 109.80 90.00
Sites, in units of the cell vectors:
Li 0.000 0.000 0.000
Be 0.000 0.000 0.500
Se 0.242 0.500 0.745
Se 0.758 0.500 0.255

The calculation puts the calculated density at 3.4 Mg/m³. The value obtained for the uncorrected formation energy is -0.493 eV/atom. As for the symmetry: P2/m (10).

The following is a PBE-GGA calculation of MnSb after structural relaxation, from the Alexandria database.

Lattice parameters (Å, degrees): 5.385 5.385 6.206 90.00 90.00 91.14
Sites, in units of the cell vectors:
Mn 0.056 0.814 0.608
Mn 0.186 0.944 0.892
Mn 0.814 0.056 0.392
Mn 0.944 0.186 0.108
Sb 0.029 0.352 0.685
Sb 0.352 0.029 0.315
Sb 0.648 0.971 0.815
Sb 0.971 0.648 0.185

The calculation puts the calculated density at 6.5 Mg/m³. The value obtained for the uncorrected formation energy is 0.440 eV/atom. As for the symmetry: C222_1 (20).

Number 1: magnetization 0.00 μB per formula unit, total energy -4.700 eV/atom, density of states at the Fermi level 3.77 states/eV/cell. Number 2: magnetization 8.33 μB per formula unit, total energy -4.089 eV/atom, density of states at the Fermi level 7.60 states/eV/cell. Number 3: magnetization 0.00 μB per formula unit, total energy -3.645 eV/atom, density of states at the Fermi level 1.05 states/eV/cell. Number 4: magnetization 0.00 μB per formula unit, total energy -6.206 eV/atom, density of states at the Fermi level 4.91 states/eV/cell.